# 1
# CaPrZnAg PBE optimized geometry
data_CaPrZnAg
_chemical_formula_sum 'Ca4 Pr4 Zn4 Ag4'
_symmetry_space_group_name_H-M 'P 1'
_symmetry_Int_Tables_number 1
_symmetry_space_group_name_Hall 'P 1'
_cell_length_a 7.4350
_cell_length_b 7.4350
_cell_length_c 7.4350
_cell_angle_alpha 90.00
_cell_angle_beta 90.00
_cell_angle_gamma 90.00
loop_
_atom_site_label
_atom_site_fract_x
_atom_site_fract_y
_atom_site_fract_z
_atom_site_occupancy
Ca1 0.0000 0.0000 0.0000 1
Ca2 0.0000 0.5000 0.5000 1
Ca3 0.5000 0.0000 0.5000 1
Ca4 0.5000 0.5000 0.0000 1
Pr1 0.0000 0.0000 0.5000 1
Pr2 0.0000 0.5000 0.0000 1
Pr3 0.5000 0.0000 0.0000 1
Pr4 0.5000 0.5000 0.5000 1
Zn1 0.2500 0.2500 0.2500 1
Zn2 0.2500 0.7500 0.7500 1
Zn3 0.7500 0.2500 0.7500 1
Zn4 0.7500 0.7500 0.2500 1
Ag1 0.2500 0.2500 0.7500 1
Ag2 0.2500 0.7500 0.2500 1
Ag3 0.7500 0.2500 0.2500 1
Ag4 0.7500 0.7500 0.7500 1
# formation energy = -0.290 eV/atom
# theoretical density = 5725 kg/m3
# D(E_F) = 13.764 states/eV per cell
# magnetic moment = 0.0 μB per formula unit



# 2
# Ca4AgPt2 PBE optimized geometry
data_Ca4AgPt2
_chemical_formula_sum 'Ca4 Ag1 Pt2'
_symmetry_space_group_name_H-M 'P 1'
_symmetry_Int_Tables_number 1
_symmetry_space_group_name_Hall 'P 1'
_cell_length_a 8.5843
_cell_length_b 8.5843
_cell_length_c 8.5843
_cell_angle_alpha 34.07
_cell_angle_beta 34.07
_cell_angle_gamma 34.07
loop_
_atom_site_label
_atom_site_fract_x
_atom_site_fract_y
_atom_site_fract_z
_atom_site_occupancy
Ca1 0.1209 0.1209 0.1209 1
Ca2 0.3719 0.3719 0.3719 1
Ca3 0.6281 0.6281 0.6281 1
Ca4 0.8791 0.8791 0.8791 1
Ag1 0.5000 0.5000 0.5000 1
Pt1 0.2479 0.2479 0.2479 1
Pt2 0.7521 0.7521 0.7521 1
# formation energy = -0.692 eV/atom
# theoretical density = 6179 kg/m3
# D(E_F) = 3.237 states/eV per cell
# magnetic moment = 0.0 μB per formula unit



# 3
# CaAgPt2 PBE optimized geometry
data_CaAgPt2
_chemical_formula_sum 'Ca1 Ag1 Pt2'
_symmetry_space_group_name_H-M 'P 1'
_symmetry_Int_Tables_number 1
_symmetry_space_group_name_Hall 'P 1'
_cell_length_a 3.0147
_cell_length_b 3.0147
_cell_length_c 8.0792
_cell_angle_alpha 90.00
_cell_angle_beta 90.00
_cell_angle_gamma 90.00
loop_
_atom_site_label
_atom_site_fract_x
_atom_site_fract_y
_atom_site_fract_z
_atom_site_occupancy
Ca1 0.0000 0.0000 0.0000 1
Ag1 0.0000 0.0000 0.5000 1
Pt1 0.5000 0.5000 0.2594 1
Pt2 0.5000 0.5000 0.7406 1
# formation energy = -0.326 eV/atom
# theoretical density = 12169 kg/m3
# D(E_F) = 2.035 states/eV per cell
# magnetic moment = 0.0 μB per formula unit



# 4
# CaAgPt2 PBE optimized geometry
data_CaAgPt2
_chemical_formula_sum 'Ca2 Ag2 Pt4'
_symmetry_space_group_name_H-M 'P 1'
_symmetry_Int_Tables_number 1
_symmetry_space_group_name_Hall 'P 1'
_cell_length_a 4.1713
_cell_length_b 4.1713
_cell_length_c 8.4628
_cell_angle_alpha 90.00
_cell_angle_beta 90.00
_cell_angle_gamma 90.00
loop_
_atom_site_label
_atom_site_fract_x
_atom_site_fract_y
_atom_site_fract_z
_atom_site_occupancy
Ca1 0.0000 0.0000 0.0000 1
Ca2 0.5000 0.5000 0.5000 1
Ag1 0.0000 0.5000 0.7500 1
Ag2 0.5000 0.0000 0.2500 1
Pt1 0.0000 0.0000 0.5000 1
Pt2 0.0000 0.5000 0.2500 1
Pt3 0.5000 0.0000 0.7500 1
Pt4 0.5000 0.5000 0.0000 1
# formation energy = -0.414 eV/atom
# theoretical density = 12137 kg/m3
# D(E_F) = 5.366 states/eV per cell
# magnetic moment = 0.0 μB per formula unit



# 5
# CaAgPt PBE optimized geometry
data_CaAgPt
_chemical_formula_sum 'Ca4 Ag4 Pt4'
_symmetry_space_group_name_H-M 'P 1'
_symmetry_Int_Tables_number 1
_symmetry_space_group_name_Hall 'P 1'
_cell_length_a 4.5093
_cell_length_b 10.0053
_cell_length_c 5.6543
_cell_angle_alpha 90.00
_cell_angle_beta 90.00
_cell_angle_gamma 90.00
loop_
_atom_site_label
_atom_site_fract_x
_atom_site_fract_y
_atom_site_fract_z
_atom_site_occupancy
Ca1 0.0000 0.2025 0.2500 1
Ca2 0.0000 0.7975 0.7500 1
Ca3 0.5000 0.2975 0.7500 1
Ca4 0.5000 0.7025 0.2500 1
Ag1 0.0000 0.5000 0.0000 1
Ag2 0.0000 0.5000 0.5000 1
Ag3 0.5000 0.0000 0.0000 1
Ag4 0.5000 0.0000 0.5000 1
Pt1 0.0000 0.0918 0.7500 1
Pt2 0.0000 0.9082 0.2500 1
Pt3 0.5000 0.4082 0.2500 1
Pt4 0.5000 0.5918 0.7500 1
# formation energy = -0.584 eV/atom
# theoretical density = 8931 kg/m3
# D(E_F) = 1.957 states/eV per cell
# magnetic moment = 0.0 μB per formula unit



# 6
# Ca6AgPt2 PBE optimized geometry
data_Ca6AgPt2
_chemical_formula_sum 'Ca12 Ag2 Pt4'
_symmetry_space_group_name_H-M 'P 1'
_symmetry_Int_Tables_number 1
_symmetry_space_group_name_Hall 'P 1'
_cell_length_a 8.7976
_cell_length_b 8.7976
_cell_length_c 8.7976
_cell_angle_alpha 114.43
_cell_angle_beta 111.64
_cell_angle_gamma 102.57
loop_
_atom_site_label
_atom_site_fract_x
_atom_site_fract_y
_atom_site_fract_z
_atom_site_occupancy
Ca1 0.0458 0.2434 0.8024 1
Ca2 0.1756 0.2891 0.4647 1
Ca3 0.1756 0.7109 0.8865 1
Ca4 0.3440 0.0239 0.6799 1
Ca5 0.3440 0.6641 0.3201 1
Ca6 0.4410 0.2434 0.1976 1
Ca7 0.5590 0.7566 0.8024 1
Ca8 0.6560 0.3359 0.6799 1
Ca9 0.6560 0.9761 0.3201 1
Ca10 0.8244 0.2891 0.1135 1
Ca11 0.8244 0.7109 0.5353 1
Ca12 0.9542 0.7566 0.1976 1
Ag1 0.0000 0.0000 0.0000 1
Ag2 0.5000 0.5000 0.0000 1
Pt1 0.1328 0.6328 0.5000 1
Pt2 0.3065 0.0000 0.3065 1
Pt3 0.6935 0.0000 0.6935 1
Pt4 0.8672 0.3672 0.5000 1
# formation energy = -0.586 eV/atom
# theoretical density = 4733 kg/m3
# D(E_F) = 10.654 states/eV per cell
# magnetic moment = 0.0 μB per formula unit



# 7
# Ca8Ag2Pt PBE optimized geometry
data_Ca8Ag2Pt
_chemical_formula_sum 'Ca8 Ag2 Pt1'
_symmetry_space_group_name_H-M 'P 1'
_symmetry_Int_Tables_number 1
_symmetry_space_group_name_Hall 'P 1'
_cell_length_a 8.2433
_cell_length_b 8.2433
_cell_length_c 6.5373
_cell_angle_alpha 103.17
_cell_angle_beta 103.17
_cell_angle_gamma 115.51
loop_
_atom_site_label
_atom_site_fract_x
_atom_site_fract_y
_atom_site_fract_z
_atom_site_occupancy
Ca1 0.0000 0.0000 0.0000 1
Ca2 0.1391 0.5186 0.1723 1
Ca3 0.2499 0.9930 0.5433 1
Ca4 0.4365 0.6857 0.7882 1
Ca5 0.5186 0.1391 0.1723 1
Ca6 0.6814 0.6814 0.3767 1
Ca7 0.6857 0.4365 0.7882 1
Ca8 0.9930 0.2499 0.5433 1
Ag1 0.0545 0.6729 0.7197 1
Ag2 0.6729 0.0545 0.7197 1
Pt1 0.3370 0.3370 0.4035 1
# formation energy = -0.304 eV/atom
# theoretical density = 3350 kg/m3
# D(E_F) = 7.673 states/eV per cell
# magnetic moment = 0.0 μB per formula unit



# 8
# CaAgPt2 PBE optimized geometry
data_CaAgPt2
_chemical_formula_sum 'Ca3 Ag3 Pt6'
_symmetry_space_group_name_H-M 'P 1'
_symmetry_Int_Tables_number 1
_symmetry_space_group_name_Hall 'P 1'
_cell_length_a 3.0080
_cell_length_b 3.0080
_cell_length_c 27.9482
_cell_angle_alpha 90.00
_cell_angle_beta 90.00
_cell_angle_gamma 120.00
loop_
_atom_site_label
_atom_site_fract_x
_atom_site_fract_y
_atom_site_fract_z
_atom_site_occupancy
Ca1 0.0000 0.0000 0.0000 1
Ca2 0.3333 0.6667 0.6667 1
Ca3 0.6667 0.3333 0.3333 1
Ag1 0.0000 0.0000 0.5000 1
Ag2 0.3333 0.6667 0.1667 1
Ag3 0.6667 0.3333 0.8333 1
Pt1 0.0000 0.0000 0.2505 1
Pt2 0.0000 0.0000 0.7495 1
Pt3 0.3333 0.6667 0.4162 1
Pt4 0.3333 0.6667 0.9172 1
Pt5 0.6667 0.3333 0.0828 1
Pt6 0.6667 0.3333 0.5838 1
# formation energy = -0.150 eV/atom
# theoretical density = 12241 kg/m3
# D(E_F) = 5.399 states/eV per cell
# magnetic moment = 0.0 μB per formula unit



# 9
# Ca4AgPt PBE optimized geometry
data_Ca4AgPt
_chemical_formula_sum 'Ca4 Ag1 Pt1'
_symmetry_space_group_name_H-M 'P 1'
_symmetry_Int_Tables_number 1
_symmetry_space_group_name_Hall 'P 1'
_cell_length_a 5.0448
_cell_length_b 5.0448
_cell_length_c 7.2390
_cell_angle_alpha 90.00
_cell_angle_beta 90.00
_cell_angle_gamma 90.00
loop_
_atom_site_label
_atom_site_fract_x
_atom_site_fract_y
_atom_site_fract_z
_atom_site_occupancy
Ca1 0.0000 0.5000 0.2366 1
Ca2 0.0000 0.5000 0.7634 1
Ca3 0.5000 0.0000 0.2366 1
Ca4 0.5000 0.0000 0.7634 1
Ag1 0.0000 0.0000 0.5000 1
Pt1 0.5000 0.5000 0.0000 1
# formation energy = -0.462 eV/atom
# theoretical density = 4176 kg/m3
# D(E_F) = 2.838 states/eV per cell
# magnetic moment = 0.0 μB per formula unit



# 10
# CaAg3Pt PBE optimized geometry
data_CaAg3Pt
_chemical_formula_sum 'Ca1 Ag3 Pt1'
_symmetry_space_group_name_H-M 'P 1'
_symmetry_Int_Tables_number 1
_symmetry_space_group_name_Hall 'P 1'
_cell_length_a 5.0490
_cell_length_b 5.0490
_cell_length_c 5.0490
_cell_angle_alpha 90.00
_cell_angle_beta 90.00
_cell_angle_gamma 90.00
loop_
_atom_site_label
_atom_site_fract_x
_atom_site_fract_y
_atom_site_fract_z
_atom_site_occupancy
Ca1 0.0000 0.0000 0.0000 1
Ag1 0.0000 0.0000 0.5000 1
Ag2 0.0000 0.5000 0.0000 1
Ag3 0.5000 0.0000 0.0000 1
Pt1 0.5000 0.5000 0.5000 1
# formation energy = 1.267 eV/atom
# theoretical density = 7209 kg/m3
# D(E_F) = 2.950 states/eV per cell
# magnetic moment = 0.0 μB per formula unit



# 11
# Ca8AgPt2 PBE optimized geometry
data_Ca8AgPt2
_chemical_formula_sum 'Ca8 Ag1 Pt2'
_symmetry_space_group_name_H-M 'P 1'
_symmetry_Int_Tables_number 1
_symmetry_space_group_name_Hall 'P 1'
_cell_length_a 7.9993
_cell_length_b 7.9993
_cell_length_c 5.9138
_cell_angle_alpha 98.02
_cell_angle_beta 98.02
_cell_angle_gamma 111.24
loop_
_atom_site_label
_atom_site_fract_x
_atom_site_fract_y
_atom_site_fract_z
_atom_site_occupancy
Ca1 0.0000 0.0000 0.0000 1
Ca2 0.0407 0.3093 0.6053 1
Ca3 0.1354 0.6113 0.1991 1
Ca4 0.3093 0.0407 0.6053 1
Ca5 0.4407 0.7080 0.7853 1
Ca6 0.6113 0.1354 0.1991 1
Ca7 0.7080 0.4407 0.7853 1
Ca8 0.7534 0.7534 0.4042 1
Ag1 0.3770 0.3770 0.3139 1
Pt1 0.0623 0.6906 0.7029 1
Pt2 0.6906 0.0623 0.7029 1
# formation energy = -0.472 eV/atom
# theoretical density = 3977 kg/m3
# D(E_F) = 6.657 states/eV per cell
# magnetic moment = 0.0 μB per formula unit



# 12
# CaAgPt2 PBE optimized geometry
data_CaAgPt2
_chemical_formula_sum 'Ca1 Ag1 Pt2'
_symmetry_space_group_name_H-M 'P 1'
_symmetry_Int_Tables_number 1
_symmetry_space_group_name_Hall 'P 1'
_cell_length_a 4.1724
_cell_length_b 4.1724
_cell_length_c 4.1511
_cell_angle_alpha 90.00
_cell_angle_beta 90.00
_cell_angle_gamma 90.00
loop_
_atom_site_label
_atom_site_fract_x
_atom_site_fract_y
_atom_site_fract_z
_atom_site_occupancy
Ca1 0.0000 0.0000 0.0000 1
Ag1 0.5000 0.5000 0.0000 1
Pt1 0.0000 0.5000 0.5000 1
Pt2 0.5000 0.0000 0.5000 1
# formation energy = -0.503 eV/atom
# theoretical density = 12365 kg/m3
# D(E_F) = 2.202 states/eV per cell
# magnetic moment = 0.0 μB per formula unit



# 13
# CaAgPt PBE optimized geometry
data_CaAgPt
_chemical_formula_sum 'Ca1 Ag1 Pt1'
_symmetry_space_group_name_H-M 'P 1'
_symmetry_Int_Tables_number 1
_symmetry_space_group_name_Hall 'P 1'
_cell_length_a 3.2676
_cell_length_b 3.2676
_cell_length_c 6.8383
_cell_angle_alpha 90.00
_cell_angle_beta 90.00
_cell_angle_gamma 120.00
loop_
_atom_site_label
_atom_site_fract_x
_atom_site_fract_y
_atom_site_fract_z
_atom_site_occupancy
Ca1 0.0000 0.0000 0.0000 1
Ag1 0.3333 0.6667 0.6263 1
Pt1 0.6667 0.3333 0.3072 1
# formation energy = -0.047 eV/atom
# theoretical density = 9008 kg/m3
# D(E_F) = 2.207 states/eV per cell
# magnetic moment = 0.0 μB per formula unit